Density functional theory data (PBE) for a relaxed TaIF3 crystal.

Calculated values
As for the electronic total energy: -3.3699 eV/atom. The value obtained for the raw formation energy is 0.43 eV/atom. The crystal system is cubic. As for the size of the total moment: 3.49 μB per formula unit. Its space-group type is Pm-3m (221).

Cell lengths 4.7731, 4.7731, 4.7731 Å; angles 90.00, 90.00, 90.00 degrees
Last column: nearest neighbours and their distance in Å.
Fractional coordinates of all 5 atoms:
Ta  0.0000  0.0000  0.0000  12 F 3.38
I  0.5000  0.5000  0.5000  6 F 2.39
F  0.0000  0.5000  0.5000  2 I 2.39
F  0.5000  0.0000  0.5000  2 I 2.39
F  0.5000  0.5000  0.0000  2 I 2.39

---

Density functional theory data (PBE) for a relaxed LaCeI6 crystal.

Calculated values
As for the electronic total energy: -3.8997 eV/atom. The value obtained for the raw formation energy is -1.38 eV/atom. The crystal system is triclinic. As for the size of the total moment: 1.00 μB per formula unit. Its space-group type is P-1 (2).

Cell lengths 7.8749, 7.8765, 8.5280 Å; angles 62.56, 62.55, 60.04 degrees
Last column: nearest neighbours and their distance in Å.
Fractional coordinates of all 8 atoms:
La  0.0000  0.0000  0.0000  6 I 3.18
Ce  0.5000  0.5000  0.5000  6 I 3.16
I  0.0893  0.7485  0.7487  1 Ce 3.16, 1 La 3.18
I  0.2518  0.5867  0.2506  1 Ce 3.16, 1 La 3.18
I  0.4130  0.0897  0.7488  1 Ce 3.16, 1 La 3.18
I  0.5870  0.9103  0.2512  1 Ce 3.16, 1 La 3.18
I  0.7482  0.4133  0.7494  1 Ce 3.16, 1 La 3.18
I  0.9107  0.2515  0.2513  1 Ce 3.16, 1 La 3.18

---

Ordered offset from the most stable computed form results: 2094 17; unit meV per atom.